a) Dy2TiGa: optimized geometry, PBE.

The density of states at the Fermi level comes out at 4.70 states/eV per cell.

Geometry as CIF:
```
data_Dy2TiGa
_chemical_formula_sum 'Dy2 Ti1 Ga1'
_symmetry_space_group_name_H-M 'P 4/m m m'
_symmetry_Int_Tables_number 123
_symmetry_space_group_name_Hall '-P 4 2'
_cell_length_a 4.611
_cell_length_b 4.611
_cell_length_c 4.330
_cell_angle_alpha 90.00
_cell_angle_beta 90.00
_cell_angle_gamma 90.00
loop_
_atom_site_label
_atom_site_fract_x
_atom_site_fract_y
_atom_site_fract_z
Dy1 0.000 0.500 0.000
Ti1 0.000 0.000 0.500
Ga1 0.500 0.500 0.500
```


b) Dy2TiGa: optimized geometry, PBE.

The density of states at the Fermi level comes out at 12.96 states/eV per cell.

Geometry as CIF:
```
data_Dy2TiGa
_chemical_formula_sum 'Dy6 Ti3 Ga3'
_symmetry_space_group_name_H-M 'R -3 m'
_symmetry_Int_Tables_number 166
_symmetry_space_group_name_Hall '-R 3 2"'
_cell_length_a 3.3208
_cell_length_b 3.3208
_cell_length_c 31.9251
_cell_angle_alpha 90.00
_cell_angle_beta 90.00
_cell_angle_gamma 120.00
loop_
_atom_site_label
_atom_site_fract_x
_atom_site_fract_y
_atom_site_fract_z
Dy1 0.0000 0.0000 0.0938
Ti1 0.0000 0.0000 0.0000
Ga1 0.0000 0.0000 0.5000
```


Most stable of them? a).


a) Dy5Tl2Ga: optimized geometry, PBE.

The density of states at the Fermi level comes out at 26.16 states/eV per cell.

Geometry as CIF:
```
data_Dy5Tl2Ga
_chemical_formula_sum 'Dy20 Tl8 Ga4'
_symmetry_space_group_name_H-M 'I 4/m c m'
_symmetry_Int_Tables_number 140
_symmetry_space_group_name_Hall '-I 4 2c'
_cell_length_a 7.981
_cell_length_b 7.981
_cell_length_c 14.158
_cell_angle_alpha 90.00
_cell_angle_beta 90.00
_cell_angle_gamma 90.00
loop_
_atom_site_label
_atom_site_fract_x
_atom_site_fract_y
_atom_site_fract_z
Dy1 0.000 0.000 0.000
Dy2 0.163 0.337 0.155
Tl1 0.134 0.366 0.500
Ga1 0.000 0.000 0.250
```


b) Dy5Tl2Ga: optimized geometry, PBE.

The density of states at the Fermi level comes out at 14.15 states/eV per cell.

Geometry as CIF:
```
data_Dy5Tl2Ga
_chemical_formula_sum 'Dy10 Tl4 Ga2'
_symmetry_space_group_name_H-M 'P b a m'
_symmetry_Int_Tables_number 55
_cell_length_a 6.857
_cell_length_b 12.812
_cell_length_c 5.023
_cell_angle_alpha 90.00
_cell_angle_beta 90.00
_cell_angle_gamma 90.00
loop_
_symmetry_equiv_pos_as_xyz
'x,y,z'
'-x,-y,-z'
'-x,-y,z'
'x,y,-z'
'x+1/2,-y+1/2,-z'
'-x+1/2,y+1/2,z'
'-x+1/2,y+1/2,-z'
'x+1/2,-y+1/2,z'
loop_
_atom_site_label
_atom_site_fract_x
_atom_site_fract_y
_atom_site_fract_z
Dy1 0.000 0.000 0.000
Dy2 0.137 0.280 0.000
Dy3 0.166 0.593 0.500
Tl1 0.112 0.844 0.500
Ga1 0.000 0.500 0.000
```


Most stable of them? b).